# Sr2MgZr PBE-GGA optimized geometry
data_Sr2MgZr
_cell_length_a 3.571
_cell_length_b 5.295
_cell_length_c 7.179
_cell_angle_alpha 90.00
_cell_angle_beta 90.00
_cell_angle_gamma 90.00
_symmetry_space_group_name_H-M 'P m m m'
_symmetry_Int_Tables_number 47
_symmetry_space_group_name_Hall '-P 2 2'
loop_
_atom_site_label
_atom_site_type_symbol
_atom_site_fract_x
_atom_site_fract_y
_atom_site_fract_z
Sr1 Sr 0.000 0.000 0.247
Mg1 Mg 0.500 0.500 0.500
Zr1 Zr 0.500 0.500 0.000
# **Calculated density**: 3.6 g cm⁻³
# **Formation energy from the elements**: 0.411 eV/atom

---

# Sr2MgZr PBE-GGA optimized geometry
data_Sr2MgZr
_cell_length_a 6.288
_cell_length_b 3.602
_cell_length_c 6.434
_cell_angle_alpha 90.00
_cell_angle_beta 110.13
_cell_angle_gamma 90.00
_symmetry_space_group_name_H-M 'P 1 2/m 1'
_symmetry_Int_Tables_number 10
_symmetry_space_group_name_Hall '-P 2y'
loop_
_atom_site_label
_atom_site_type_symbol
_atom_site_fract_x
_atom_site_fract_y
_atom_site_fract_z
Sr1 Sr 0.000 0.000 0.000
Sr2 Sr 0.000 0.500 0.500
Mg1 Mg 0.500 0.000 0.500
Zr1 Zr 0.500 0.500 0.000
# **Calculated density**: 3.5 g cm⁻³
# **Formation energy from the elements**: 0.485 eV/atom

---

# SrMg2Zr2 PBE-GGA optimized geometry
data_SrMg2Zr2
_cell_length_a 9.003
_cell_length_b 9.003
_cell_length_c 3.314
_cell_angle_alpha 90.00
_cell_angle_beta 90.00
_cell_angle_gamma 90.00
_symmetry_space_group_name_H-M 'P 4/m b m'
_symmetry_Int_Tables_number 127
_symmetry_space_group_name_Hall '-P 4 2ab'
loop_
_atom_site_label
_atom_site_type_symbol
_atom_site_fract_x
_atom_site_fract_y
_atom_site_fract_z
Sr1 Sr 0.000 0.000 0.000
Mg1 Mg 0.182 0.318 0.500
Zr1 Zr 0.109 0.609 0.000
# **Energy above the most stable polymorph in this dataset**: 0.000 eV per atom
# **Calculated density**: 3.9 g cm⁻³
# **Formation energy from the elements**: 0.219 eV/atom

---

# SrMg2Zr PBE-GGA optimized geometry
data_SrMg2Zr
_cell_length_a 12.192
_cell_length_b 3.381
_cell_length_c 5.799
_cell_angle_alpha 90.00
_cell_angle_beta 111.45
_cell_angle_gamma 90.00
_symmetry_space_group_name_H-M 'C 1 m 1'
_symmetry_Int_Tables_number 8
_symmetry_space_group_name_Hall 'C -2y'
loop_
_atom_site_label
_atom_site_type_symbol
_atom_site_fract_x
_atom_site_fract_y
_atom_site_fract_z
Sr1 Sr 0.000 0.000 0.000
Mg1 Mg 0.023 0.500 0.507
Mg2 Mg 0.240 0.000 0.818
Zr1 Zr 0.284 0.500 0.352
# **Energy above the most stable polymorph in this dataset**: 0.155 eV per atom
# **Calculated density**: 3.4 g cm⁻³
# **Formation energy from the elements**: 0.261 eV/atom